Density functional theory data (GGA-PBE) for a relaxed structure of CdHI3.

a b c (Å): 5.9264 5.9264 5.9264
angles (deg): 90.00 90.00 90.00
Last column: nearest neighbours and their distance in Å.
Atoms (fractional coordinates):
1 Cd 0.0000 0.0000 0.0000  6 I 2.96
2 I 0.0000 0.5000 0.0000  2 Cd 2.96
3 I 0.0000 0.0000 0.5000  2 Cd 2.96
4 H 0.5000 0.5000 0.5000  12 I 4.19
5 I 0.5000 0.0000 0.0000  2 Cd 2.96

## Properties
- Offset from the most stable computed form: 0.00 eV per formula unit
- D(E_F): 5.766 states/eV/cell
- Space group: Pm-3m (221)

Density functional theory data (GGA-PBE) for a relaxed structure of CaMg2Cl.

a b c (Å): 4.6341 3.4232 7.0574
angles (deg): 75.90 90.00 90.00
Last column: nearest neighbours and their distance in Å.
Atoms (fractional coordinates):
1 Mg 0.5000 0.2014 0.2215  1 Cl 2.73
2 Mg 0.0000 0.7802 0.0645  6 Mg 3.07-3.42
3 Ca 0.0000 0.5158 0.5931  4 Cl 2.89
4 Cl 0.5000 0.0025 0.6209  1 Mg 2.73, 4 Ca 2.89

## Properties
- Offset from the most stable computed form: 0.34 eV per formula unit
- D(E_F): 2.233 states/eV/cell
- Space group: Pm (6)

Density functional theory data (GGA-PBE) for a relaxed structure of NbCuRu3.

a b c (Å): 4.3893 4.3893 4.3893
angles (deg): 90.00 90.00 90.00
Last column: nearest neighbours and their distance in Å.
Atoms (fractional coordinates):
1 Nb 0.5000 0.5000 0.5000  12 Ru 3.10
2 Ru 0.0000 0.5000 0.0000  2 Cu 2.19
3 Ru 0.0000 0.0000 0.5000  2 Cu 2.19
4 Ru 0.5000 0.0000 0.0000  2 Cu 2.19
5 Cu 0.0000 0.0000 0.0000  6 Ru 2.19

## Properties
- Offset from the most stable computed form: 0.00 eV per formula unit
- Formation energy from the elements: 1.308 eV per atom
- D(E_F): 6.531 states/eV/cell
- Space group: Pm-3m (221)

Density functional theory data (GGA-PBE) for a relaxed structure of Th5Fe2Bi2.

a b c (Å): 7.9154 7.8160 9.0631
angles (deg): 90.00 64.11 90.00
Last column: nearest neighbours and their distance in Å.
Atoms (fractional coordinates):
1 Bi 0.2890 0.5000 0.4219  7 Th 3.37-3.44
2 Bi 0.7890 0.0000 0.4219  7 Th 3.37-3.44
3 Th 0.0000 0.0000 0.0000  4 Fe 3.00-3.08
4 Bi 0.2110 0.0000 0.5781  7 Th 3.37-3.44
5 Th 0.5491 0.8425 0.2231  3 Fe 2.88-2.98
6 Fe 0.1380 0.3569 0.0000  8 Th 2.88-3.08, 1 Fe 3.13
7 Fe 0.6380 0.1431 0.0000  8 Th 2.88-3.08, 1 Fe 3.13
8 Th 0.7721 0.8425 0.7769  3 Fe 2.88-2.98
9 Th 0.5000 0.5000 0.0000  4 Fe 3.00-3.08
10 Fe 0.3620 0.8569 0.0000  8 Th 2.88-3.08, 1 Fe 3.13
11 Th 0.7279 0.3425 0.2231  3 Fe 2.88-2.98
12 Bi 0.7110 0.5000 0.5781  7 Th 3.37-3.44
13 Th 0.9509 0.3425 0.7769  3 Fe 2.88-2.98
14 Fe 0.8620 0.6431 0.0000  8 Th 2.88-3.08, 1 Fe 3.13
15 Th 0.2279 0.1575 0.2231  3 Fe 2.88-2.98
16 Th 0.2721 0.6575 0.7769  3 Fe 2.88-2.98
17 Th 0.4509 0.1575 0.7769  3 Fe 2.88-2.98
18 Th 0.0491 0.6575 0.2231  3 Fe 2.88-2.98

## Properties
- Formation energy from the elements: -0.273 eV per atom
- D(E_F): 14.674 states/eV/cell
- Space group: Cmce (64)

Density functional theory data (GGA-PBE) for a relaxed structure of TlTc2Te.

a b c (Å): 4.1348 4.1348 7.0620
angles (deg): 73.04 73.04 60.02
Last column: nearest neighbours and their distance in Å.
Atoms (fractional coordinates):
1 Te 0.4648 0.4648 0.6050  6 Tc 2.77-3.05
2 Tl 0.2706 0.2706 0.1880  6 Tc 3.09-3.44
3 Tc 0.0364 0.0364 0.8915  3 Tc 2.44
4 Tc 0.7283 0.7283 0.8155  3 Tc 2.44

## Properties
- Offset from the most stable computed form: 0.13 eV per formula unit
- D(E_F): 1.965 states/eV/cell
- Space group: Cm (8)

Density functional theory data (GGA-PBE) for a relaxed structure of Cs2Rb2SI2.

a b c (Å): 5.0892 9.6625 8.8201
angles (deg): 64.87 89.98 74.74
Last column: nearest neighbours and their distance in Å.
Atoms (fractional coordinates):
1 Rb 0.1864 0.6270 0.2306  1 S 3.16
2 S 0.0000 0.0000 0.0000  2 Rb 3.16, 4 Cs 3.43
3 I 0.1581 0.6841 0.6320  3 Rb 3.64-3.80
4 Cs 0.5133 0.9738 0.7531  2 S 3.43
5 I 0.8419 0.3159 0.3680  3 Rb 3.64-3.80
6 Cs 0.4867 0.0262 0.2469  2 S 3.43
7 Rb 0.8136 0.3730 0.7694  1 S 3.16

## Properties
- Total energy: -19.69 eV for the cell shown
- D(E_F): 0.000 states/eV/cell
- Space group: C2/m (12)

Density functional theory data (GGA-PBE) for a relaxed structure of CaICl.

a b c (Å): 4.3344 4.3344 7.0619
angles (deg): 90.00 90.00 120.00
Last column: nearest neighbours and their distance in Å.
Atoms (fractional coordinates):
1 I 0.0000 0.0000 0.0952  3 Ca 3.14
2 Ca 0.6667 0.3333 0.3634  3 Cl 2.80
3 Cl 0.3333 0.6667 0.5414  3 Ca 2.80

## Properties
- Total energy: -11.36 eV for the cell shown
- D(E_F): 0.000 states/eV/cell
- Space group: P3m1 (156)

Density functional theory data (GGA-PBE) for a relaxed structure of Ba2SiCl.

a b c (Å): 5.7270 5.7270 5.7270
angles (deg): 60.00 60.00 60.00
Last column: nearest neighbours and their distance in Å.
Atoms (fractional coordinates):
1 Si 0.0000 0.0000 0.0000  8 Ba 3.51
2 Ba 0.2500 0.2500 0.2500  4 Cl 3.51, 4 Si 3.51
3 Cl 0.5000 0.5000 0.5000  8 Ba 3.51
4 Ba 0.7500 0.7500 0.7500  4 Cl 3.51, 4 Si 3.51

## Properties
- Offset from the most stable computed form: 0.73 eV per formula unit
- D(E_F): 4.478 states/eV/cell
- Space group: Fm-3m (225)

Density functional theory data (GGA-PBE) for a relaxed structure of Ca2C.

a b c (Å): 7.0932 7.0932 7.0932
angles (deg): 29.82 29.82 29.82
Last column: nearest neighbours and their distance in Å.
Atoms (fractional coordinates):
1 Ca 0.5952 0.5952 0.5952  3 C 2.56
2 Ca 0.7382 0.7382 0.7382  3 C 2.56
3 C 0.9999 0.9999 0.9999  6 Ca 2.56

## Properties
- Offset from the most stable computed form: 1.57 eV per formula unit
- Formation energy from the elements: 0.556 eV per atom
- D(E_F): 1.954 states/eV/cell
- Space group: R3m (160)

Density functional theory data (GGA-PBE) for a relaxed structure of Dy4Er4Cd.

a b c (Å): 4.9375 7.7724 7.7724
angles (deg): 84.21 71.48 71.48
Last column: nearest neighbours and their distance in Å.
Atoms (fractional coordinates):
1 Dy 0.6649 0.0000 0.6703  4 Dy 3.44-3.52, 2 Cd 3.46, 6 Er 3.48-3.49
2 Er 0.6669 0.3331 0.3331  1 Cd 3.47, 5 Er 3.48-3.49, 6 Dy 3.48-3.49
3 Er 0.0000 0.3331 0.6669  1 Cd 3.47, 5 Er 3.48-3.49, 6 Dy 3.48-3.49
4 Cd 0.0000 0.0000 0.0000  8 Dy 3.46, 4 Er 3.47
5 Dy 0.3351 0.3297 0.0000  4 Dy 3.44-3.52, 2 Cd 3.46, 6 Er 3.48-3.49
6 Er 0.3331 0.6669 0.6669  1 Cd 3.47, 5 Er 3.48-3.49, 6 Dy 3.48-3.49
7 Dy 0.6649 0.6703 0.0000  4 Dy 3.44-3.52, 2 Cd 3.46, 6 Er 3.48-3.49
8 Er 0.0000 0.6669 0.3331  1 Cd 3.47, 5 Er 3.48-3.49, 6 Dy 3.48-3.49
9 Dy 0.3351 0.0000 0.3297  4 Dy 3.44-3.52, 2 Cd 3.46, 6 Er 3.48-3.49

## Properties
- Formation energy from the elements: -0.011 eV per atom
- D(E_F): 13.754 states/eV/cell
- Space group: I4/mmm (139)

Density functional theory data (GGA-PBE) for a relaxed structure of YGe2Pd2Pt.

a b c (Å): 3.9448 3.9448 9.6251
angles (deg): 101.82 101.82 90.00
Last column: nearest neighbours and their distance in Å.
Atoms (fractional coordinates):
1 Pd 0.7500 0.2500 0.5000  4 Ge 2.51, 4 Pd 2.79
2 Ge 0.3345 0.3345 0.6691  4 Pd 2.51
3 Pt 0.0000 0.0000 0.0000  4 Y 2.79
4 Y 0.5000 0.5000 0.0000  4 Pt 2.79, 2 Ge 3.05
5 Pd 0.2500 0.7500 0.5000  4 Ge 2.51, 4 Pd 2.79
6 Ge 0.6655 0.6655 0.3309  4 Pd 2.51

## Properties
- Formation energy from the elements: -0.265 eV per atom
- D(E_F): 2.889 states/eV/cell
- Space group: I4/mmm (139)

Density functional theory data (GGA-PBE) for a relaxed structure of TlSi2Ag.

a b c (Å): 4.6207 4.6207 6.6781
angles (deg): 84.46 84.46 38.74
Last column: nearest neighbours and their distance in Å.
Atoms (fractional coordinates):
1 Tl 0.7500 0.7500 0.7500  2 Tl 3.07, 2 Si 3.23
2 Si 0.5144 0.5144 0.4072  3 Ag 2.63-2.69, 2 Si 2.63
3 Si 0.9856 0.9856 0.0928  3 Ag 2.63-2.69, 2 Si 2.63
4 Ag 0.2500 0.2500 0.2500  6 Si 2.63-2.69

## Properties
- Offset from the most stable computed form: 0.58 eV per formula unit
- D(E_F): 0.888 states/eV/cell
- Space group: C2/m (12)

Question: Which value of D(E_F) does entry 5 give?
Answer: 1.965 states/eV/cell